(1)
Computed, not measured: a geometry-optimized Tb5Tm4Tl structure at the PBE level of DFT.

Summary:
E above lowest polymorph: 280 meV per atom

Structure (POSCAR):
```
Tb5Tm4Tl
1.0
-1.379 -3.563 -4.830
1.570 -7.606 1.237
-7.370 -2.736 0.197
Tb Tm Tl
5 4 1
Direct
0.817 0.377 0.915 Tb
0.194 0.915 0.623 Tb
0.732 0.085 0.377 Tb
0.109 0.623 0.085 Tb
0.642 0.000 0.000 Tb
0.414 0.396 0.696 Tm
0.810 0.696 0.604 Tm
0.110 0.304 0.396 Tm
0.506 0.604 0.304 Tm
0.177 0.000 0.000 Tl
```

=====

(2)
Computed, not measured: a geometry-optimized Tb4TmTl4 structure at the PBE level of DFT.

Structure (POSCAR):
```
Tb4TmTl4
1.0
-4.858 -1.477 -3.157
4.950 -6.451 -4.599
-2.270 -6.350 6.465
Tb Tm Tl
8 2 8
Direct
0.377 0.424 0.837 Tb
0.877 0.663 0.924 Tb
0.377 0.576 0.163 Tb
0.123 0.076 0.663 Tb
0.623 0.837 0.576 Tb
0.123 0.924 0.337 Tb
0.877 0.337 0.076 Tb
0.623 0.163 0.424 Tb
0.000 0.000 0.000 Tm
0.500 0.500 0.500 Tm
0.616 0.899 0.207 Tl
0.616 0.101 0.793 Tl
0.116 0.707 0.601 Tl
0.884 0.399 0.707 Tl
0.884 0.601 0.293 Tl
0.384 0.207 0.101 Tl
0.384 0.793 0.899 Tl
0.116 0.293 0.399 Tl
```

=====

(3)
Computed, not measured: a geometry-optimized Tb2Tm2Tl structure at the PBE level of DFT.

Summary:
E above lowest polymorph: 120 meV per atom

Structure (POSCAR):
```
Tb2Tm2Tl
1.0
4.622 0.000 0.000
0.000 8.183 0.000
0.000 0.000 8.183
Tb Tm Tl
4 4 2
Direct
0.000 0.351 0.851 Tb
0.000 0.851 0.649 Tb
0.000 0.649 0.149 Tb
0.000 0.149 0.351 Tb
0.500 0.150 0.650 Tm
0.500 0.650 0.850 Tm
0.500 0.850 0.350 Tm
0.500 0.350 0.150 Tm
0.000 0.000 0.000 Tl
0.000 0.500 0.500 Tl
```

=====

(4)
Computed, not measured: a geometry-optimized Tb4Tm3Tl2 structure at the PBE level of DFT.

Structure (POSCAR):
```
Tb4Tm3Tl2
1.0
-4.195 -4.876 0.871
5.633 -7.568 0.473
0.295 -1.392 9.338
Tb Tm Tl
8 6 4
Direct
0.476 0.830 0.304 Tb
0.024 0.696 0.170 Tb
0.524 0.170 0.696 Tb
0.976 0.304 0.830 Tb
0.139 0.142 0.486 Tb
0.361 0.514 0.858 Tb
0.861 0.858 0.514 Tb
0.639 0.486 0.142 Tb
0.037 0.060 0.155 Tm
0.463 0.845 0.940 Tm
0.963 0.940 0.845 Tm
0.537 0.155 0.060 Tm
0.250 0.500 0.500 Tm
0.750 0.500 0.500 Tm
0.637 0.192 0.363 Tl
0.863 0.637 0.808 Tl
0.363 0.808 0.637 Tl
0.137 0.363 0.192 Tl
```

=====

(5)
Computed, not measured: a geometry-optimized TbTm2Tl4 structure at the PBE level of DFT.

Summary:
E above lowest polymorph: 0 meV per atom

Structure (POSCAR):
```
TbTm2Tl4
1.0
6.086 0.037 -2.119
-3.023 5.246 -2.206
0.021 -0.037 6.444
Tb Tm Tl
1 2 4
Direct
0.000 0.000 0.000 Tb
0.500 0.500 0.000 Tm
0.500 0.000 0.500 Tm
0.500 0.000 0.000 Tl
0.500 0.500 0.500 Tl
0.000 0.000 0.500 Tl
0.000 0.500 0.000 Tl
```

=====

(6)
Computed, not measured: a geometry-optimized Tb4TmTl structure at the PBE level of DFT.

Summary:
E above lowest polymorph: 0 meV per atom

Structure (POSCAR):
```
Tb4TmTl
1.0
3.583 0.000 0.000
0.000 3.583 0.000
0.000 0.000 14.264
Tb Tm Tl
4 1 1
Direct
0.500 0.500 0.173 Tb
0.000 0.000 0.651 Tb
0.000 0.000 0.349 Tb
0.500 0.500 0.827 Tb
0.000 0.000 0.000 Tm
0.500 0.500 0.500 Tl
```

=====

(7)
Computed, not measured: a geometry-optimized Tb5TmTl4 structure at the PBE level of DFT.

Structure (POSCAR):
```
Tb5TmTl4
1.0
-1.798 3.105 0.579
-1.545 -1.446 2.955
16.361 7.217 12.083
Tb Tm Tl
5 1 4
Direct
0.500 0.500 0.112 Tb
0.500 0.500 0.305 Tb
0.500 0.500 0.500 Tb
0.500 0.500 0.695 Tb
0.500 0.500 0.888 Tb
0.000 0.000 0.000 Tm
0.000 0.000 0.209 Tl
0.000 0.000 0.403 Tl
0.000 0.000 0.597 Tl
0.000 0.000 0.791 Tl
```

=====

(8)
Computed, not measured: a geometry-optimized Tb2TmTl2 structure at the PBE level of DFT.

Summary:
E above lowest polymorph: 42 meV per atom

Structure (POSCAR):
```
Tb2TmTl2
1.0
-5.007 -0.890 1.943
1.965 -5.662 2.471
4.514 4.143 5.904
Tb Tm Tl
4 2 4
Direct
0.970 0.794 0.941 Tb
0.804 0.337 0.608 Tb
0.196 0.837 0.392 Tb
0.030 0.294 0.059 Tb
0.401 0.085 0.802 Tm
0.599 0.585 0.198 Tm
0.406 0.567 0.811 Tl
0.782 0.851 0.564 Tl
0.218 0.351 0.436 Tl
0.594 0.067 0.189 Tl
```

=====

(9)
Computed, not measured: a geometry-optimized TbTm2Tl2 structure at the PBE level of DFT.

Summary:
E above lowest polymorph: 0 meV per atom

Structure (POSCAR):
```
TbTm2Tl2
1.0
-1.482 -4.873 1.138
2.161 -2.092 5.852
-7.688 -1.642 6.915
Tb Tm Tl
2 4 4
Direct
0.712 0.868 0.353 Tb
0.288 0.132 0.647 Tb
0.501 0.502 0.248 Tm
0.710 0.863 0.858 Tm
0.290 0.137 0.142 Tm
0.498 0.498 0.752 Tm
0.095 0.727 0.042 Tl
0.914 0.272 0.450 Tl
0.905 0.273 0.958 Tl
0.086 0.728 0.550 Tl
```

=====

(10)
Computed, not measured: a geometry-optimized TbTmTl6 structure at the PBE level of DFT.

Structure (POSCAR):
```
TbTmTl6
1.0
4.758 0.000 0.000
0.000 4.758 0.000
0.000 0.000 9.522
Tb Tm Tl
1 1 6
Direct
0.000 0.000 0.000 Tb
0.000 0.000 0.500 Tm
0.500 0.500 0.000 Tl
0.500 0.500 0.500 Tl
0.500 0.000 0.252 Tl
0.500 0.000 0.748 Tl
0.000 0.500 0.252 Tl
0.000 0.500 0.748 Tl
```

=====

(11)
Computed, not measured: a geometry-optimized Tb7Tm2Tl2 structure at the PBE level of DFT.

Structure (POSCAR):
```
Tb7Tm2Tl2
1.0
-1.863 5.689 3.083
-4.313 -4.890 6.424
5.819 -2.958 1.652
Tb Tm Tl
7 2 2
Direct
0.000 0.300 0.500 Tb
0.500 0.700 0.000 Tb
0.000 0.700 0.500 Tb
0.500 0.300 0.000 Tb
0.000 0.000 0.000 Tb
0.500 0.813 0.500 Tb
0.500 0.187 0.500 Tb
0.757 0.500 0.757 Tm
0.243 0.500 0.243 Tm
0.729 0.000 0.271 Tl
0.271 0.000 0.729 Tl
```

=====

(12)
Computed, not measured: a geometry-optimized Tb2Tm2Tl structure at the PBE level of DFT.

Summary:
E above lowest polymorph: 0 meV per atom

Structure (POSCAR):
```
Tb2Tm2Tl
1.0
8.255 0.000 0.433
4.128 4.843 0.217
3.978 0.000 7.749
Tb Tm Tl
4 4 2
Direct
0.659 0.368 0.717 Tb
0.341 0.632 0.283 Tb
0.028 0.632 0.717 Tb
0.972 0.368 0.283 Tb
0.736 0.000 0.422 Tm
0.603 0.000 0.120 Tm
0.397 0.000 0.880 Tm
0.264 0.000 0.578 Tm
0.163 0.674 0.000 Tl
0.837 0.326 0.000 Tl
```

=====

(13)
Computed, not measured: a geometry-optimized Tb3TmTl structure at the PBE level of DFT.

Summary:
E above lowest polymorph: 0 meV per atom

Structure (POSCAR):
```
Tb3TmTl
1.0
4.694 0.000 1.073
0.000 4.811 0.000
-0.461 0.000 12.825
Tb Tm Tl
6 2 2
Direct
0.772 0.250 0.105 Tb
0.374 0.250 0.900 Tb
0.574 0.250 0.500 Tb
0.274 0.750 0.100 Tb
0.877 0.750 0.895 Tb
0.074 0.750 0.500 Tb
0.474 0.750 0.700 Tm
0.174 0.250 0.300 Tm
0.672 0.750 0.305 Tl
0.976 0.250 0.695 Tl
```

=====

(14)
Computed, not measured: a geometry-optimized Tb4TmTl3 structure at the PBE level of DFT.

Structure (POSCAR):
```
Tb4TmTl3
1.0
3.595 0.000 0.000
0.000 8.826 -1.018
-1.798 -3.558 7.922
Tb Tm Tl
4 1 3
Direct
0.363 0.562 0.725 Tb
0.637 0.438 0.275 Tb
0.637 0.837 0.275 Tb
0.363 0.163 0.725 Tb
0.500 0.000 0.000 Tm
0.000 0.500 0.000 Tl
0.184 0.184 0.368 Tl
0.816 0.816 0.632 Tl
```

=====

(15)
Computed, not measured: a geometry-optimized Tb4TmTl2 structure at the PBE level of DFT.

Summary:
E above lowest polymorph: 0 meV per atom

Structure (POSCAR):
```
Tb4TmTl2
1.0
5.488 0.000 0.000
2.744 4.752 0.000
2.744 1.584 8.780
Tb Tm Tl
4 1 2
Direct
0.736 0.736 0.793 Tb
0.869 0.869 0.394 Tb
0.264 0.264 0.207 Tb
0.131 0.131 0.606 Tb
0.500 0.500 0.500 Tm
0.617 0.617 0.149 Tl
0.383 0.383 0.851 Tl
```

=====

(16)
Computed, not measured: a geometry-optimized TbTm2Tl structure at the PBE level of DFT.

Summary:
E above lowest polymorph: 0 meV per atom

Structure (POSCAR):
```
TbTm2Tl
1.0
-4.793 -0.110 -0.257
0.276 -2.678 -4.004
-0.051 -4.012 2.680
Tl Tm Tb
1 2 1
Direct
0.500 0.000 0.000 Tl
0.000 0.000 0.500 Tm
0.000 0.500 0.000 Tm
0.500 0.500 0.500 Tb
```

=====

(17)
Computed, not measured: a geometry-optimized Tb4TmTl structure at the PBE level of DFT.

Summary:
E above lowest polymorph: 88 meV per atom

Structure (POSCAR):
```
Tb4TmTl
1.0
6.404 -0.782 0.000
-2.627 8.604 0.000
-1.888 -3.911 7.037
Tb Tm Tl
8 2 2
Direct
0.043 0.162 0.752 Tb
0.754 0.713 0.619 Tb
0.208 0.589 0.752 Tb
0.365 0.905 0.619 Tb
0.635 0.095 0.381 Tb
0.792 0.411 0.248 Tb
0.246 0.287 0.381 Tb
0.957 0.838 0.248 Tb
0.340 0.590 0.179 Tm
0.660 0.410 0.821 Tm
0.250 0.000 0.000 Tl
0.750 0.000 0.000 Tl
```

=====

(18)
Computed, not measured: a geometry-optimized TbTm2Tl structure at the PBE level of DFT.

Summary:
E above lowest polymorph: 6 meV per atom

Structure (POSCAR):
```
TbTm2Tl
1.0
3.624 0.000 0.000
-1.813 6.386 0.000
0.000 0.000 10.085
Tb Tm Tl
2 4 2
Direct
0.961 0.922 0.250 Tb
0.039 0.078 0.750 Tb
0.369 0.739 0.529 Tm
0.631 0.261 0.471 Tm
0.369 0.739 0.971 Tm
0.631 0.261 0.029 Tm
0.758 0.515 0.750 Tl
0.242 0.485 0.250 Tl
```

=====

(19)
Computed, not measured: a geometry-optimized TbTm5Tl4 structure at the PBE level of DFT.

Structure (POSCAR):
```
TbTm5Tl4
1.0
3.584 0.000 0.000
0.000 3.584 0.000
0.000 0.000 21.455
Tb Tm Tl
1 5 4
Direct
0.000 0.000 0.000 Tb
0.500 0.500 0.114 Tm
0.500 0.500 0.306 Tm
0.500 0.500 0.500 Tm
0.500 0.500 0.694 Tm
0.500 0.500 0.886 Tm
0.000 0.000 0.210 Tl
0.000 0.000 0.403 Tl
0.000 0.000 0.597 Tl
0.000 0.000 0.790 Tl
```

=====

(20)
Computed, not measured: a geometry-optimized Tb2Tm3Tl4 structure at the PBE level of DFT.

Summary:
E above lowest polymorph: 88 meV per atom

Structure (POSCAR):
```
Tb2Tm3Tl4
1.0
7.093 0.000 0.000
0.000 9.136 0.000
-3.546 0.000 8.067
Tb Tm Tl
4 6 8
Direct
0.111 0.573 0.222 Tb
0.889 0.427 0.778 Tb
0.389 0.073 0.778 Tb
0.611 0.927 0.222 Tb
0.000 0.000 0.000 Tm
0.500 0.500 0.000 Tm
0.538 0.750 0.577 Tm
0.962 0.250 0.423 Tm
0.462 0.250 0.423 Tm
0.038 0.750 0.577 Tm
0.726 0.750 0.952 Tl
0.774 0.250 0.048 Tl
0.274 0.250 0.048 Tl
0.226 0.750 0.952 Tl
0.189 0.958 0.377 Tl
0.811 0.042 0.623 Tl
0.311 0.458 0.623 Tl
0.689 0.542 0.377 Tl
```

=====

(21)
Computed, not measured: a geometry-optimized TbTm3Tl4 structure at the PBE level of DFT.

Summary:
E above lowest polymorph: 0 meV per atom

Structure (POSCAR):
```
TbTm3Tl4
1.0
-0.687 -4.042 3.460
-3.186 -4.056 -5.371
9.596 -3.951 -2.709
Tl Tm Tb
8 6 2
Direct
0.500 0.753 0.000 Tl
0.500 0.753 0.500 Tl
0.500 0.247 0.000 Tl
0.500 0.247 0.500 Tl
0.001 0.753 0.750 Tl
0.999 0.753 0.250 Tl
0.999 0.247 0.250 Tl
0.001 0.247 0.750 Tl
0.000 0.000 0.000 Tm
0.000 0.000 0.500 Tm
0.501 0.000 0.750 Tm
0.499 0.000 0.250 Tm
0.501 0.500 0.750 Tm
0.499 0.500 0.250 Tm
0.000 0.500 0.000 Tb
0.000 0.500 0.500 Tb
```

=====

(22)
Computed, not measured: a geometry-optimized Tb4TmTl7 structure at the PBE level of DFT.

Structure (POSCAR):
```
Tb4TmTl7
1.0
-1.193 4.039 3.738
-6.281 -4.007 6.566
4.425 -0.197 5.867
Tb Tm Tl
4 1 7
Direct
0.585 0.217 0.613 Tb
0.415 0.783 0.387 Tb
0.720 0.673 0.886 Tb
0.280 0.327 0.114 Tb
0.000 0.000 0.000 Tm
0.786 0.898 0.531 Tl
0.214 0.102 0.469 Tl
0.083 0.676 0.158 Tl
0.917 0.324 0.842 Tl
0.368 0.542 0.723 Tl
0.500 0.000 0.000 Tl
0.632 0.458 0.277 Tl
```

=====

| no. | spin magnetization (μB/atom) | energy of formation (eV per atom) |
| --- | --- | --- |
| 1 | 0.00 | 0.23 |
| 2 | 0.00 | -0.17 |
| 3 | 0.00 | 0.08 |
| 4 | 0.00 | -0.08 |
| 5 | 0.00 | -0.21 |
| 6 | 0.00 | -0.10 |
| 7 | 0.01 | -0.28 |
| 8 | 0.00 | -0.23 |
| 9 | 0.00 | -0.27 |
| 10 | 0.00 | -0.22 |
| 11 | 0.00 | 0.18 |
| 12 | 0.00 | -0.04 |
| 13 | 0.00 | -0.12 |
| 14 | 0.00 | -0.14 |
| 15 | 0.00 | 0.06 |
| 16 | 0.18 | -0.17 |
| 17 | 0.00 | -0.02 |
| 18 | 0.00 | -0.16 |
| 19 | 0.01 | -0.25 |
| 20 | 0.00 | -0.19 |
| 21 | 0.00 | -0.31 |
| 22 | 0.00 | -0.11 |